Here is ZnCoSiAu after structural relaxation from the Open Quantum Materials Database. Energies are from GGA-PBE.

Spin magnetization: 0.186 μB per atom
E_tot: -0.1505 Ha/atom

```
data_ZnCoSiAu
_chemical_formula_sum 'Zn4 Co4 Si4 Au4'
_cell_length_a 6.089
_cell_length_b 6.089
_cell_length_c 6.089
_cell_angle_alpha 90.00
_cell_angle_beta 90.00
_cell_angle_gamma 90.00
_space_group_name_H-M_alt 'F -4 3 m'
_space_group_IT_number 216
_space_group_name_Hall 'F -4 2 3'
loop_
_atom_site_label
_atom_site_type_symbol
_atom_site_fract_x
_atom_site_fract_y
_atom_site_fract_z
_atom_site_occupancy
Zn1 Zn 0.000 0.000 0.000 1
Co1 Co 0.000 0.000 0.500 1
Si1 Si 0.250 0.250 0.250 1
Au1 Au 0.250 0.250 0.750 1
```